--- P ---
## HfGaFeCu (GGA-PBE)

Data for HfGaFeCu after structural relaxation.

Output
**Total magnetic moment**: 2.07 μB per cell
**SG**: F-43m, No. 216

a b c (Å): 4.377 4.377 4.377
angles (deg): 60.00 60.00 60.00
Element x y z (fractional)
Hf1 0.250 0.250 0.250
Cu1 0.500 0.500 0.500
Ga1 0.000 0.000 0.000
Fe1 0.750 0.750 0.750


--- Q ---
## HfGaFeCu (GGA-PBE)

Data for HfGaFeCu after structural relaxation.

Output
**Total magnetic moment**: 1.22 μB per cell
**SG**: F-43m, No. 216

a b c (Å): 4.341 4.341 4.341
angles (deg): 60.00 60.00 60.00
Element x y z (fractional)
Hf1 0.500 0.500 0.500
Cu1 0.750 0.750 0.750
Ga1 0.000 0.000 0.000
Fe1 0.250 0.250 0.250


--- R ---
## HfGaFeCu (GGA-PBE)

Data for HfGaFeCu after structural relaxation.

Output
**Total magnetic moment**: 1.89 μB per cell
**SG**: F-43m, No. 216

a b c (Å): 4.395 4.395 4.395
angles (deg): 60.00 60.00 60.00
Element x y z (fractional)
Fe1 0.500 0.500 0.500
Ga1 0.000 0.000 0.000
Cu1 0.750 0.750 0.750
Hf1 0.250 0.250 0.250


Short version: R is the least stable of them.